Computed, not measured: a geometry-optimized KAcIr4 structure at the PBE-GGA level of DFT.

abc: 5.5147 5.5147 5.5147
angles: 60.00 60.00 60.00
Last column: nearest neighbours and their distance in Å.
Fractional coordinates of all 6 atoms:
K: 0.0000 0.0000 0.0000  12 Ir 3.23, 4 Ac 3.38
Ac: 0.7500 0.7500 0.7500  12 Ir 3.23, 4 K 3.38
Ir: 0.3748 0.3748 0.3748  6 Ir 2.75-2.76
Ir: 0.3748 0.3748 0.8757  6 Ir 2.75-2.76
Ir: 0.3748 0.8757 0.3748  6 Ir 2.75-2.76
Ir: 0.8757 0.3748 0.3748  6 Ir 2.75-2.76

Properties
The formation energy comes out at -37 kJ/mol of formula units.

Computed, not measured: a geometry-optimized KAc2Ir structure at the PBE-GGA level of DFT.

abc: 4.4353 4.4353 10.8240
angles: 90.18 90.18 59.94
Last column: nearest neighbours and their distance in Å.
Fractional coordinates of all 4 atoms:
K: 0.0000 0.0000 0.0000  6 K 4.43-4.44, 6 Ac 4.64-4.65
Ac: 0.3326 0.3326 0.3582  3 Ir 2.98-2.99
Ac: 0.6674 0.6674 0.6418  3 Ir 2.98-2.99
Ir: 0.0000 0.0000 0.5000  6 Ac 2.98-2.99

Properties
The formation energy comes out at -165 kJ/mol of formula units. For the energy above the most stable polymorph in this dataset, the calculation gives 0 meV/atom.

Computed, not measured: a geometry-optimized KAc3Ir structure at the PBE-GGA level of DFT.

abc: 6.0233 6.0233 6.0233
angles: 90.00 90.00 90.00
Last column: nearest neighbours and their distance in Å.
Fractional coordinates of all 5 atoms:
K: 0.0000 0.0000 0.0000  12 Ac 4.26
Ac: 0.0000 0.5000 0.5000  2 Ir 3.01
Ac: 0.5000 0.0000 0.5000  2 Ir 3.01
Ac: 0.5000 0.5000 0.0000  2 Ir 3.01
Ir: 0.5000 0.5000 0.5000  6 Ac 3.01

Properties
The formation energy comes out at -113 kJ/mol of formula units.

Computed, not measured: a geometry-optimized KAc2Ir structure at the PBE-GGA level of DFT.

abc: 12.1213 12.1213 12.1213
angles: 20.92 20.92 20.92
Last column: nearest neighbours and their distance in Å.
Fractional coordinates of all 4 atoms:
K: 0.0000 0.0000 0.0000  2 Ac 4.38, 6 K 4.40
Ac: 0.1231 0.1231 0.1231  3 Ir 2.98
Ac: 0.8769 0.8769 0.8769  3 Ir 2.98
Ir: 0.5000 0.5000 0.5000  6 Ac 2.98

Properties
The formation energy comes out at -149 kJ/mol of formula units. For the energy above the most stable polymorph in this dataset, the calculation gives 43 meV/atom.

Computed, not measured: a geometry-optimized K2AcIrO4 structure at the PBE-GGA level of DFT.

abc: 5.7215 5.7215 5.7215
angles: 113.03 113.03 102.57
Last column: nearest neighbours and their distance in Å.
Fractional coordinates of all 8 atoms:
K: 0.0000 0.0000 0.0000  4 O 2.73
K: 0.7500 0.2500 0.5000  4 O 2.56
Ac: 0.5000 0.5000 0.0000  4 O 2.49
Ir: 0.2500 0.7500 0.5000  4 O 1.98
O: 0.0980 0.0321 0.5812  1 Ir 1.98
O: 0.4510 0.5168 0.4188  1 Ir 1.98
O: 0.4832 0.9020 0.9341  1 Ir 1.98
O: 0.9679 0.5490 0.0659  1 Ir 1.98

Properties
The uncorrected energy is -48.400 eV for the cell shown.

Computed, not measured: a geometry-optimized K2AcIr3O12 structure at the PBE-GGA level of DFT.

abc: 6.9487 6.9487 6.9487
angles: 64.10 64.10 64.10
Last column: nearest neighbours and their distance in Å.
Fractional coordinates of all 18 atoms:
K: 0.1017 0.1017 0.1017  6 O 2.65-2.86
K: 0.8983 0.8983 0.8983  6 O 2.65-2.86
Ac: 0.5000 0.5000 0.5000  12 O 2.71-2.79
Ir: 0.0000 0.5000 0.5000  6 O 1.84-2.00
Ir: 0.5000 0.0000 0.5000  6 O 1.84-2.00
Ir: 0.5000 0.5000 0.0000  6 O 1.84-2.00
O: 0.0444 0.6410 0.6410  1 Ir 1.84
O: 0.2340 0.2340 0.6215  2 Ir 2.00
O: 0.2340 0.6215 0.2340  2 Ir 2.00
O: 0.3590 0.3590 0.9556  1 Ir 1.84
O: 0.3590 0.9556 0.3590  1 Ir 1.84
O: 0.3785 0.7660 0.7660  2 Ir 2.00
O: 0.6215 0.2340 0.2340  2 Ir 2.00
O: 0.6410 0.0444 0.6410  1 Ir 1.84
O: 0.6410 0.6410 0.0444  1 Ir 1.84
O: 0.7660 0.3785 0.7660  2 Ir 2.00
O: 0.7660 0.7660 0.3785  2 Ir 2.00
O: 0.9556 0.3590 0.3590  1 Ir 1.84

Properties
The uncorrected energy is -113.703 eV for the cell shown.

Computed, not measured: a geometry-optimized KAcIr2O8 structure at the PBE-GGA level of DFT.

abc: 6.1141 6.1141 7.9795
angles: 90.00 90.00 120.00
Last column: nearest neighbours and their distance in Å.
Fractional coordinates of all 12 atoms:
K: 0.0000 0.0000 0.0000  6 O 3.00
Ac: 0.0000 0.0000 0.5000  6 O 2.46
Ir: 0.3333 0.6667 0.7966  4 O 1.78-1.84
Ir: 0.6667 0.3333 0.2034  4 O 1.78-1.84
O: 0.1738 0.3477 0.7038  1 Ir 1.84
O: 0.1738 0.8262 0.7038  1 Ir 1.84
O: 0.3333 0.6667 0.0192  1 Ir 1.78
O: 0.3477 0.1738 0.2962  1 Ir 1.84
O: 0.6523 0.8262 0.7038  1 Ir 1.84
O: 0.6667 0.3333 0.9808  1 Ir 1.78
O: 0.8262 0.1738 0.2962  1 Ir 1.84
O: 0.8262 0.6523 0.2962  1 Ir 1.84

Properties
The uncorrected energy is -76.537 eV for the cell shown.

Computed, not measured: a geometry-optimized KAc4Ir3O12 structure at the PBE-GGA level of DFT.

abc: 7.6682 7.6682 7.6682
angles: 109.47 109.47 109.47
Last column: nearest neighbours and their distance in Å.
Fractional coordinates of all 20 atoms:
K: 0.0000 0.0000 0.0000  12 O 3.25
Ac: 0.0000 0.0000 0.5000  6 O 2.51
Ac: 0.0000 0.5000 0.0000  6 O 2.51
Ac: 0.5000 0.0000 0.0000  6 O 2.51
Ac: 0.5000 0.5000 0.5000  6 O 2.51
Ir: 0.0000 0.5000 0.5000  4 O 1.95
Ir: 0.5000 0.0000 0.5000  4 O 1.95
Ir: 0.5000 0.5000 0.0000  4 O 1.95
O: 0.1479 0.4842 0.3362  1 Ir 1.95
O: 0.1479 0.8117 0.6637  1 Ir 1.95
O: 0.1883 0.3362 0.8521  1 Ir 1.95
O: 0.3362 0.1479 0.4842  1 Ir 1.95
O: 0.3362 0.8521 0.1883  1 Ir 1.95
O: 0.4842 0.3362 0.1479  1 Ir 1.95
O: 0.5158 0.6637 0.8521  1 Ir 1.95
O: 0.6637 0.1479 0.8117  1 Ir 1.95
O: 0.6637 0.8521 0.5158  1 Ir 1.95
O: 0.8117 0.6637 0.1479  1 Ir 1.95
O: 0.8521 0.1883 0.3362  1 Ir 1.95
O: 0.8521 0.5158 0.6637  1 Ir 1.95

Properties
The uncorrected energy is -143.085 eV for the cell shown.

It is found that the N(E_F) values, taken in the order of the records, are 7.29, 3.28, 2.28, 3.78, 6.01, 13.83, 9.24, 5.93 states/eV/cell.
It is found that the calculated density values, taken in the order of the records, are 14.5, 6.2, 6.9, 5.7, 6.5, 6.9, 5.0, 8.2 g/cm³.
It is found that the total magnetic moment values, taken in the order of the records, are 0.0, 0.0, 0.0, 0.0, 2.0, 2.6, 2.1, 8.0 μB per formula unit.